# 1
TmBiPO | GGA-PBE | relaxed

Calculated values
Size of the total moment: 0.02 μB per cell

Cell: 3.8633 8.2052 5.8631 Å, 90.00 90.00 90.00°
With the nearest neighbours (Å) after each atom.
Sites, in units of the cell vectors:
Tm (0.0000, 0.1569, 0.0000)  2 O 2.08
Tm (0.0000, 0.8431, 0.5000)  2 O 2.08
Bi (0.5000, 0.4062, 0.5129)  2 P 2.69, 1 O 2.82
Bi (0.5000, 0.5938, 0.0129)  2 P 2.69, 1 O 2.82
P (0.0000, 0.1791, 0.5002)  2 Bi 2.69, 3 Tm 2.76-2.94
P (0.0000, 0.8209, 0.0002)  2 Bi 2.69, 3 Tm 2.76-2.94
O (0.5000, 0.2501, 0.9978)  2 Tm 2.08
O (0.5000, 0.7499, 0.4978)  2 Tm 2.08

---

# 2
TmBiPO | GGA-PBE | relaxed

Calculated values
Size of the total moment: 0.00 μB per cell

Cell: 4.2129 8.0465 6.4011 Å, 90.00 90.00 90.00°
With the nearest neighbours (Å) after each atom.
Sites, in units of the cell vectors:
Tm (0.0000, 0.1503, 0.0000)  2 O 2.01-2.02
Tm (0.0000, 0.8497, 0.5000)  2 O 2.01-2.02
Bi (0.5000, 0.3207, 0.5303)  2 P 2.61-2.64
Bi (0.5000, 0.6793, 0.0303)  2 P 2.61-2.64
P (0.5000, 0.3631, 0.9393)  2 Bi 2.61-2.64, 2 Tm 2.74
P (0.5000, 0.6369, 0.4393)  2 Bi 2.61-2.64, 2 Tm 2.74
O (0.0000, 0.0210, 0.2709)  2 Tm 2.01-2.02
O (0.0000, 0.9790, 0.7709)  2 Tm 2.01-2.02

---

# 3
ZnBiPO | GGA-PBE | relaxed

Cell: 3.8447 3.8447 10.7345 Å, 90.00 90.00 90.00°
With the nearest neighbours (Å) after each atom.
Sites, in units of the cell vectors:
Zn (0.2500, 0.2500, 0.1082)  1 P 2.41
Zn (0.7500, 0.7500, 0.8918)  1 P 2.41
Bi (0.2500, 0.2500, 0.6224)  4 O 2.33
Bi (0.7500, 0.7500, 0.3776)  4 O 2.33
P (0.2500, 0.2500, 0.8837)  1 Zn 2.41
P (0.7500, 0.7500, 0.1163)  1 Zn 2.41
O (0.2500, 0.7500, 0.5000)  4 Bi 2.33
O (0.7500, 0.2500, 0.5000)  4 Bi 2.33

---

# 4
ZnBiPO | GGA-PBE | relaxed

Cell: 4.3774 6.1811 5.8638 Å, 90.00 90.00 90.00°
With the nearest neighbours (Å) after each atom.
Sites, in units of the cell vectors:
Zn (0.0000, 0.1476, 0.0000)  2 O 2.04-2.08
Zn (0.0000, 0.8524, 0.5000)  2 O 2.04-2.08
Bi (0.5000, 0.2735, 0.4293)  2 O 2.35
Bi (0.5000, 0.7265, 0.9293)  2 O 2.35
P (0.5000, 0.2835, 0.8993)  2 Zn 2.42
P (0.5000, 0.7165, 0.3993)  2 Zn 2.42
O (0.0000, 0.1525, 0.3543)  2 Zn 2.04-2.08
O (0.0000, 0.8475, 0.8543)  2 Zn 2.04-2.08

---

Calculated total energy, -6.01, -6.01, -4.12, -4.46 eV per atom (same order as the records).
Calculated polymorph energy (0 for the lowest one), 0, 6, 351, 14 meV/atom (same order as the records).